A relaxed BaBe4Tl crystal. Source: Alexandria via LeMat-Bulk, functional PBE-GGA.

Computed properties:
- Total magnetic moment: 0.000 μB/atom
- DOS(E_F): 12.3 states/eV per cell
- Calculated total energy: -2.490 eV per atom

abc: 7.667 7.667 7.667
angles: 90.00 90.00 90.00
Space group F-43m (No. 216)
Inequivalent atoms, fractional coordinates:
Ba (0.000, 0.000, 0.000) (multiplicity 4)
Be (0.107, 0.107, 0.607) (multiplicity 16)
Tl (0.250, 0.250, 0.250) (multiplicity 4)



A relaxed ZnCd2N crystal. Source: Alexandria via LeMat-Bulk, functional PBE-GGA.

Computed properties:
- Uncorrected formation energy: 0.58 eV/atom
- Total magnetic moment: 0.000 μB/atom
- DOS(E_F): 8.4 states/eV per cell
- Calculated total energy: -2.280 eV per atom
- ΔE to the lowest computed polymorph: 0 meV/atom

abc: 6.152 6.152 9.544
angles: 90.00 90.00 90.00
Space group I-42d (No. 122)
Inequivalent atoms, fractional coordinates:
Zn (0.000, 0.000, 0.000) (multiplicity 4)
Cd (0.155, 0.250, 0.625) (multiplicity 8)
N (0.000, 0.000, 0.500) (multiplicity 4)



A relaxed Ba3SrLi8 crystal. Source: Alexandria via LeMat-Bulk, functional PBE-GGA.

Computed properties:
- Total magnetic moment: 0.000 μB/atom
- DOS(E_F): 29.7 states/eV per cell
- Calculated total energy: -1.868 eV per atom
- ΔE to the lowest computed polymorph: 10 meV/atom

abc: 6.5913 6.5913 32.2732
angles: 90.00 90.00 120.00
Space group R3m (No. 160, hexagonal axes)
Inequivalent atoms, fractional coordinates:
Ba (0.0000, 0.0000, 0.0000) (multiplicity 3)
Ba (0.0000, 0.0000, 0.1257) (multiplicity 3)
Ba (0.0000, 0.0000, 0.5003) (multiplicity 3)
Sr (0.0000, 0.0000, 0.6249) (multiplicity 3)
Li (0.0000, 0.0000, 0.3113) (multiplicity 3)
Li (0.0000, 0.0000, 0.8132) (multiplicity 3)
Li (0.1681, 0.3362, 0.3951) (multiplicity 9)
Li (0.1682, 0.3364, 0.8973) (multiplicity 9)